(1)
# NdGe2Au4 (PBE-GGA, optimized geometry)
data_NdGe2Au4
_chemical_formula_sum 'Nd2 Ge4 Au8'
_cell_length_a 4.462
_cell_length_b 14.268
_cell_length_c 4.432
_cell_angle_alpha 90.00
_cell_angle_beta 90.00
_cell_angle_gamma 90.00
_symmetry_space_group_name_H-M 'C m m m'
_symmetry_Int_Tables_number 65
_symmetry_space_group_name_Hall '-C 2 2'
loop_
_atom_site_label
_atom_site_fract_x
_atom_site_fract_y
_atom_site_fract_z
Nd1 0.000 0.000 0.000
Ge1 0.000 0.413 0.500
Au1 0.000 0.177 0.500
Au2 0.000 0.320 0.000
# Crystal system   orthorhombic
# Calculated total energy   -4.27 eV/atom

(2)
# Nd3Ge4Au2 (PBE-GGA, optimized geometry)
data_Nd3Ge4Au2
_chemical_formula_sum 'Nd6 Ge8 Au4'
_cell_length_a 11.197
_cell_length_b 4.420
_cell_length_c 8.564
_cell_angle_alpha 90.00
_cell_angle_beta 102.70
_cell_angle_gamma 90.00
_symmetry_space_group_name_H-M 'C 1 2/m 1'
_symmetry_Int_Tables_number 12
loop_
_symmetry_equiv_pos_as_xyz
'x,y,z'
'-x,-y,-z'
'-x,y,-z'
'x,-y,z'
'x+1/2,y+1/2,z'
'-x+1/2,-y+1/2,-z'
'-x+1/2,y+1/2,-z'
'x+1/2,-y+1/2,z'
loop_
_atom_site_label
_atom_site_fract_x
_atom_site_fract_y
_atom_site_fract_z
Nd1 0.000 0.000 0.000
Nd2 0.163 0.500 0.671
Ge1 0.053 0.000 0.386
Ge2 0.215 0.500 0.047
Au1 0.117 0.500 0.285
# Crystal system   monoclinic
# Calculated total energy   -5.15 eV/atom

(3)
# Nd2GeAu (PBE-GGA, optimized geometry)
data_Nd2GeAu
_chemical_formula_sum 'Nd4 Ge2 Au2'
_cell_length_a 4.453
_cell_length_b 4.198
_cell_length_c 11.258
_cell_angle_alpha 90.00
_cell_angle_beta 90.00
_cell_angle_gamma 90.00
_symmetry_space_group_name_H-M 'A m m 2'
_symmetry_Int_Tables_number 38
loop_
_symmetry_equiv_pos_as_xyz
'x,y,z'
'-x,-y,z'
'-x,y,z'
'x,-y,z'
'x,y+1/2,z+1/2'
'-x,-y+1/2,z+1/2'
'-x,y+1/2,z+1/2'
'x,-y+1/2,z+1/2'
loop_
_atom_site_label
_atom_site_fract_x
_atom_site_fract_y
_atom_site_fract_z
Nd1 0.000 0.000 0.000
Nd2 0.500 0.000 0.275
Ge1 0.500 0.000 0.549
Au1 0.000 0.000 0.719
# Crystal system   orthorhombic
# Calculated total energy   -5.15 eV/atom

(4)
# NdGeAuO3 (PBE-GGA, optimized geometry)
data_NdGeAuO3
_chemical_formula_sum 'Nd4 Ge4 Au4 O12'
_cell_length_a 3.999
_cell_length_b 9.459
_cell_length_c 9.632
_cell_angle_alpha 90.00
_cell_angle_beta 90.00
_cell_angle_gamma 90.00
_symmetry_space_group_name_H-M 'C m c m'
_symmetry_Int_Tables_number 63
_symmetry_space_group_name_Hall '-C 2c 2'
loop_
_atom_site_label
_atom_site_fract_x
_atom_site_fract_y
_atom_site_fract_z
Nd1 0.000 0.000 0.000
Ge1 0.000 0.433 0.250
Au1 0.000 0.317 0.750
O1 0.000 0.081 0.750
O2 0.000 0.365 0.075
# Crystal system   orthorhombic
# Calculated total energy   -6.27 eV/atom

(5)
# NdGe2PdAu (PBE-GGA, optimized geometry)
data_NdGe2PdAu
_chemical_formula_sum 'Nd2 Ge4 Pd2 Au2'
_cell_length_a 4.400
_cell_length_b 4.400
_cell_length_c 10.359
_cell_angle_alpha 90.00
_cell_angle_beta 90.00
_cell_angle_gamma 90.00
_symmetry_space_group_name_H-M 'P 4/n m m'
_symmetry_Int_Tables_number 129
loop_
_symmetry_equiv_pos_as_xyz
'x,y,z'
'-x,-y,-z'
'-y+1/2,x,z'
'y+1/2,-x,-z'
'-x+1/2,-y+1/2,z'
'x+1/2,y+1/2,-z'
'y,-x+1/2,z'
'-y,x+1/2,-z'
'x+1/2,-y,-z'
'-x+1/2,y,z'
'-y,-x,-z'
'y,x,z'
'-x,y+1/2,-z'
'x,-y+1/2,z'
'y+1/2,x+1/2,-z'
'-y+1/2,-x+1/2,z'
loop_
_atom_site_label
_atom_site_fract_x
_atom_site_fract_y
_atom_site_fract_z
Nd1 0.250 0.250 0.247
Ge1 0.250 0.250 0.645
Ge2 0.250 0.750 0.000
Pd1 0.250 0.250 0.881
Au1 0.250 0.750 0.500
# Crystal system   tetragonal
# Calculated total energy   -5.20 eV/atom

(6)
# NdGe2PdAu (PBE-GGA, optimized geometry)
data_NdGe2PdAu
_chemical_formula_sum 'Nd2 Ge4 Pd2 Au2'
_cell_length_a 4.351
_cell_length_b 4.351
_cell_length_c 10.552
_cell_angle_alpha 90.00
_cell_angle_beta 90.00
_cell_angle_gamma 90.00
_symmetry_space_group_name_H-M 'I -4 m 2'
_symmetry_Int_Tables_number 119
_symmetry_space_group_name_Hall 'I -4 -2'
loop_
_atom_site_label
_atom_site_fract_x
_atom_site_fract_y
_atom_site_fract_z
Nd1 0.000 0.000 0.000
Ge1 0.000 0.000 0.383
Pd1 0.000 0.500 0.750
Au1 0.000 0.500 0.250
# Crystal system   tetragonal
# Calculated total energy   -5.19 eV/atom

(7)
# NdGeAuS3 (PBE-GGA, optimized geometry)
data_NdGeAuS3
_chemical_formula_sum 'Nd4 Ge4 Au4 S12'
_cell_length_a 3.901
_cell_length_b 12.706
_cell_length_c 10.707
_cell_angle_alpha 90.00
_cell_angle_beta 90.00
_cell_angle_gamma 90.00
_symmetry_space_group_name_H-M 'C m c m'
_symmetry_Int_Tables_number 63
_symmetry_space_group_name_Hall '-C 2c 2'
loop_
_atom_site_label
_atom_site_fract_x
_atom_site_fract_y
_atom_site_fract_z
Nd1 0.000 0.000 0.000
Ge1 0.000 0.233 0.250
Au1 0.000 0.471 0.750
S1 0.000 0.106 0.750
S2 0.000 0.348 0.571
# Crystal system   orthorhombic
# Calculated total energy   -4.92 eV/atom

(8)
# NdGeAuSeS2 (PBE-GGA, optimized geometry)
data_NdGeAuSeS2
_chemical_formula_sum 'Nd4 Ge4 Au4 Se4 S8'
_cell_length_a 4.182
_cell_length_b 14.137
_cell_length_c 10.437
_cell_angle_alpha 90.00
_cell_angle_beta 90.00
_cell_angle_gamma 90.00
_symmetry_space_group_name_H-M 'C m c m'
_symmetry_Int_Tables_number 63
_symmetry_space_group_name_Hall '-C 2c 2'
loop_
_atom_site_label
_atom_site_fract_x
_atom_site_fract_y
_atom_site_fract_z
Nd1 0.000 0.000 0.000
Ge1 0.000 0.295 0.250
Au1 0.000 0.349 0.750
Se1 0.000 0.091 0.750
S1 0.000 0.364 0.525
# Crystal system   orthorhombic
# Calculated total energy   -4.87 eV/atom

(9)
# NdGeAuSe3 (PBE-GGA, optimized geometry)
data_NdGeAuSe3
_chemical_formula_sum 'Nd4 Ge4 Au4 Se12'
_cell_length_a 4.012
_cell_length_b 13.908
_cell_length_c 11.013
_cell_angle_alpha 90.00
_cell_angle_beta 90.00
_cell_angle_gamma 90.00
_symmetry_space_group_name_H-M 'C m c m'
_symmetry_Int_Tables_number 63
_symmetry_space_group_name_Hall '-C 2c 2'
loop_
_atom_site_label
_atom_site_fract_x
_atom_site_fract_y
_atom_site_fract_z
Nd1 0.000 0.000 0.000
Ge1 0.000 0.189 0.250
Au1 0.000 0.468 0.750
Se1 0.000 0.093 0.750
Se2 0.000 0.348 0.564
# Crystal system   orthorhombic
# Calculated total energy   -4.60 eV/atom

(10)
# NdGeTeAuSe2 (PBE-GGA, optimized geometry)
data_NdGeTeAuSe2
_chemical_formula_sum 'Nd4 Ge4 Te4 Au4 Se8'
_cell_length_a 4.058
_cell_length_b 13.968
_cell_length_c 11.361
_cell_angle_alpha 90.00
_cell_angle_beta 90.00
_cell_angle_gamma 90.00
_symmetry_space_group_name_H-M 'C m c m'
_symmetry_Int_Tables_number 63
_symmetry_space_group_name_Hall '-C 2c 2'
loop_
_atom_site_label
_atom_site_fract_x
_atom_site_fract_y
_atom_site_fract_z
Nd1 0.000 0.000 0.000
Ge1 0.000 0.185 0.250
Te1 0.000 0.112 0.750
Au1 0.000 0.474 0.750
Se1 0.000 0.353 0.569
# Crystal system   orthorhombic
# Calculated total energy   -4.50 eV/atom

(11)
# NdSiGeAu2 (PBE-GGA, optimized geometry)
data_NdSiGeAu2
_chemical_formula_sum 'Nd2 Si2 Ge2 Au4'
_cell_length_a 4.382
_cell_length_b 4.382
_cell_length_c 10.469
_cell_angle_alpha 90.00
_cell_angle_beta 90.00
_cell_angle_gamma 90.00
_symmetry_space_group_name_H-M 'I 4 m m'
_symmetry_Int_Tables_number 107
_symmetry_space_group_name_Hall 'I 4 -2'
loop_
_atom_site_label
_atom_site_fract_x
_atom_site_fract_y
_atom_site_fract_z
Nd1 0.000 0.000 0.000
Si1 0.000 0.000 0.380
Ge1 0.000 0.000 0.610
Au1 0.000 0.500 0.258
# Crystal system   tetragonal
# Calculated total energy   -4.85 eV/atom

(12)
# Nd2SiGeAu2 (PBE-GGA, optimized geometry)
data_Nd2SiGeAu2
_chemical_formula_sum 'Nd2 Si1 Ge1 Au2'
_cell_length_a 4.4127
_cell_length_b 4.4127
_cell_length_c 8.1483
_cell_angle_alpha 90.00
_cell_angle_beta 90.00
_cell_angle_gamma 120.00
_symmetry_space_group_name_H-M 'P -6 m 2'
_symmetry_Int_Tables_number 187
_symmetry_space_group_name_Hall 'P -6 2'
loop_
_atom_site_label
_atom_site_fract_x
_atom_site_fract_y
_atom_site_fract_z
Nd1 0.0000 0.0000 0.2486
Si1 0.6667 0.3333 0.0000
Ge1 0.3333 0.6667 0.5000
Au1 0.3333 0.6667 0.0000
Au2 0.6667 0.3333 0.5000
# Crystal system   hexagonal
# Calculated total energy   -5.16 eV/atom

(13)
# NdSmGe2Au2 (PBE-GGA, optimized geometry)
data_NdSmGe2Au2
_chemical_formula_sum 'Nd1 Sm1 Ge2 Au2'
_cell_length_a 4.5181
_cell_length_b 4.5181
_cell_length_c 7.6427
_cell_angle_alpha 90.00
_cell_angle_beta 90.00
_cell_angle_gamma 120.00
_symmetry_space_group_name_H-M 'P 3 m 1'
_symmetry_Int_Tables_number 156
loop_
_symmetry_equiv_pos_as_xyz
'x,y,z'
'-y,x-y,z'
'-x+y,-x,z'
'-y,-x,z'
'-x+y,y,z'
'x,x-y,z'
loop_
_atom_site_label
_atom_site_fract_x
_atom_site_fract_y
_atom_site_fract_z
Nd1 0.0000 0.0000 0.0000
Sm1 0.0000 0.0000 0.4990
Ge1 0.3333 0.6667 0.7091
Ge2 0.6667 0.3333 0.2150
Au1 0.3333 0.6667 0.2834
Au2 0.6667 0.3333 0.7702
# Crystal system   trigonal
# Calculated total energy   -5.05 eV/atom

(14)
# Tb2NdGe4Au4 (PBE-GGA, optimized geometry)
data_Tb2NdGe4Au4
_chemical_formula_sum 'Tb4 Nd2 Ge8 Au8'
_cell_length_a 4.371
_cell_length_b 7.154
_cell_length_c 14.698
_cell_angle_alpha 90.00
_cell_angle_beta 90.00
_cell_angle_gamma 90.00
_symmetry_space_group_name_H-M 'I m m m'
_symmetry_Int_Tables_number 71
_symmetry_space_group_name_Hall '-I 2 2'
loop_
_atom_site_label
_atom_site_fract_x
_atom_site_fract_y
_atom_site_fract_z
Tb1 0.000 0.000 0.127
Nd1 0.000 0.500 0.000
Ge1 0.000 0.320 0.500
Ge2 0.000 0.500 0.219
Au1 0.000 0.200 0.334
# Crystal system   orthorhombic
# Calculated total energy   -4.85 eV/atom

(15)
# TbNd2Ge4Au4 (PBE-GGA, optimized geometry)
data_TbNd2Ge4Au4
_chemical_formula_sum 'Tb2 Nd4 Ge8 Au8'
_cell_length_a 4.231
_cell_length_b 4.406
_cell_length_c 25.840
_cell_angle_alpha 90.00
_cell_angle_beta 90.00
_cell_angle_gamma 90.00
_symmetry_space_group_name_H-M 'I m m m'
_symmetry_Int_Tables_number 71
_symmetry_space_group_name_Hall '-I 2 2'
loop_
_atom_site_label
_atom_site_fract_x
_atom_site_fract_y
_atom_site_fract_z
Tb1 0.000 0.000 0.000
Nd1 0.000 0.500 0.149
Ge1 0.000 0.000 0.452
Ge2 0.000 0.500 0.310
Au1 0.000 0.000 0.251
Au2 0.000 0.500 0.408
# Crystal system   orthorhombic
# Calculated total energy   -4.84 eV/atom

(16)
# NdGeTe3Au (PBE-GGA, optimized geometry)
data_NdGeTe3Au
_chemical_formula_sum 'Nd4 Ge4 Te12 Au4'
_cell_length_a 13.195
_cell_length_b 4.512
_cell_length_c 12.459
_cell_angle_alpha 90.00
_cell_angle_beta 90.00
_cell_angle_gamma 90.00
_symmetry_space_group_name_H-M 'P n m a'
_symmetry_Int_Tables_number 62
loop_
_symmetry_equiv_pos_as_xyz
'x,y,z'
'-x,-y,-z'
'-x+1/2,-y,z+1/2'
'x+1/2,y,-z+1/2'
'x+1/2,-y+1/2,-z+1/2'
'-x+1/2,y+1/2,z+1/2'
'-x,y+1/2,-z'
'x,-y+1/2,z'
loop_
_atom_site_label
_atom_site_fract_x
_atom_site_fract_y
_atom_site_fract_z
Nd1 0.035 0.250 0.201
Ge1 0.236 0.750 0.894
Te1 0.052 0.750 0.376
Te2 0.096 0.250 0.943
Te3 0.188 0.750 0.671
Au1 0.210 0.750 0.237
# Crystal system   orthorhombic
# Calculated total energy   -4.27 eV/atom

(17)
# NdGeTe3Au (PBE-GGA, optimized geometry)
data_NdGeTe3Au
_chemical_formula_sum 'Nd4 Ge4 Te12 Au4'
_cell_length_a 4.214
_cell_length_b 15.294
_cell_length_c 11.597
_cell_angle_alpha 90.00
_cell_angle_beta 90.00
_cell_angle_gamma 90.00
_symmetry_space_group_name_H-M 'C m c m'
_symmetry_Int_Tables_number 63
_symmetry_space_group_name_Hall '-C 2c 2'
loop_
_atom_site_label
_atom_site_fract_x
_atom_site_fract_y
_atom_site_fract_z
Nd1 0.000 0.000 0.000
Ge1 0.000 0.171 0.250
Te1 0.000 0.087 0.750
Te2 0.000 0.349 0.560
Au1 0.000 0.466 0.750
# Crystal system   orthorhombic
# Calculated total energy   -4.26 eV/atom

(18)
# NdTmGe2Au2 (PBE-GGA, optimized geometry)
data_NdTmGe2Au2
_chemical_formula_sum 'Nd1 Tm1 Ge2 Au2'
_cell_length_a 4.4882
_cell_length_b 4.4882
_cell_length_c 7.4268
_cell_angle_alpha 90.00
_cell_angle_beta 90.00
_cell_angle_gamma 120.00
_symmetry_space_group_name_H-M 'P 3 m 1'
_symmetry_Int_Tables_number 156
loop_
_symmetry_equiv_pos_as_xyz
'x,y,z'
'-y,x-y,z'
'-x+y,-x,z'
'-y,-x,z'
'-x+y,y,z'
'x,x-y,z'
loop_
_atom_site_label
_atom_site_fract_x
_atom_site_fract_y
_atom_site_fract_z
Nd1 0.0000 0.0000 0.0000
Tm1 0.0000 0.0000 0.4973
Ge1 0.3333 0.6667 0.2172
Ge2 0.6667 0.3333 0.7004
Au1 0.3333 0.6667 0.7625
Au2 0.6667 0.3333 0.3054
# Crystal system   trigonal
# Calculated total energy   -5.00 eV/atom

(19)
# NdYGe2Au2 (PBE-GGA, optimized geometry)
data_NdYGe2Au2
_chemical_formula_sum 'Nd1 Y1 Ge2 Au2'
_cell_length_a 4.5026
_cell_length_b 4.5026
_cell_length_c 7.5135
_cell_angle_alpha 90.00
_cell_angle_beta 90.00
_cell_angle_gamma 120.00
_symmetry_space_group_name_H-M 'P 3 m 1'
_symmetry_Int_Tables_number 156
loop_
_symmetry_equiv_pos_as_xyz
'x,y,z'
'-y,x-y,z'
'-x+y,-x,z'
'-y,-x,z'
'-x+y,y,z'
'x,x-y,z'
loop_
_atom_site_label
_atom_site_fract_x
_atom_site_fract_y
_atom_site_fract_z
Nd1 0.0000 0.0000 0.0000
Y1 0.0000 0.0000 0.4980
Ge1 0.3333 0.6667 0.2156
Ge2 0.6667 0.3333 0.7036
Au1 0.3333 0.6667 0.7658
Au2 0.6667 0.3333 0.2952
# Crystal system   trigonal
# Calculated total energy   -5.34 eV/atom

(20)
# Ni3Ge5Au (PBE-GGA, optimized geometry)
data_Ni3Ge5Au
_chemical_formula_sum 'Ni3 Ge5 Au1'
_cell_length_a 4.9267
_cell_length_b 4.9267
_cell_length_c 6.7981
_cell_angle_alpha 90.00
_cell_angle_beta 90.00
_cell_angle_gamma 120.00
_symmetry_space_group_name_H-M 'P 6/m m m'
_symmetry_Int_Tables_number 191
_symmetry_space_group_name_Hall '-P 6 2'
loop_
_atom_site_label
_atom_site_fract_x
_atom_site_fract_y
_atom_site_fract_z
Ni1 0.0000 0.5000 0.0000
Ge1 0.0000 0.0000 0.0000
Ge2 0.3333 0.6667 0.3033
Au1 0.0000 0.0000 0.5000
# Crystal system   hexagonal
# Calculated total energy   -4.82 eV/atom

(21)
# NiGePdAu (PBE-GGA, optimized geometry)
data_NiGePdAu
_chemical_formula_sum 'Ni4 Ge4 Pd4 Au4'
_cell_length_a 6.237
_cell_length_b 6.237
_cell_length_c 6.237
_cell_angle_alpha 90.00
_cell_angle_beta 90.00
_cell_angle_gamma 90.00
_symmetry_space_group_name_H-M 'F -4 3 m'
_symmetry_Int_Tables_number 216
_symmetry_space_group_name_Hall 'F -4 2 3'
loop_
_atom_site_label
_atom_site_fract_x
_atom_site_fract_y
_atom_site_fract_z
Ni1 0.000 0.000 0.000
Ge1 0.250 0.250 0.750
Pd1 0.000 0.000 0.500
Au1 0.250 0.250 0.250
# Crystal system   cubic
# Calculated total energy   -4.75 eV/atom

(22)
# ScNiGeAu (PBE-GGA, optimized geometry)
data_ScNiGeAu
_chemical_formula_sum 'Sc4 Ni4 Ge4 Au4'
_cell_length_a 6.391
_cell_length_b 6.391
_cell_length_c 6.391
_cell_angle_alpha 90.00
_cell_angle_beta 90.00
_cell_angle_gamma 90.00
_symmetry_space_group_name_H-M 'F -4 3 m'
_symmetry_Int_Tables_number 216
_symmetry_space_group_name_Hall 'F -4 2 3'
loop_
_atom_site_label
_atom_site_fract_x
_atom_site_fract_y
_atom_site_fract_z
Sc1 0.000 0.000 0.000
Ni1 0.000 0.000 0.500
Ge1 0.250 0.250 0.250
Au1 0.250 0.250 0.750
# Crystal system   cubic
# Calculated total energy   -5.38 eV/atom

(23)
# TaNiGeAu (PBE-GGA, optimized geometry)
data_TaNiGeAu
_chemical_formula_sum 'Ta4 Ni4 Ge4 Au4'
_cell_length_a 6.314
_cell_length_b 6.314
_cell_length_c 6.314
_cell_angle_alpha 90.00
_cell_angle_beta 90.00
_cell_angle_gamma 90.00
_symmetry_space_group_name_H-M 'F -4 3 m'
_symmetry_Int_Tables_number 216
_symmetry_space_group_name_Hall 'F -4 2 3'
loop_
_atom_site_label
_atom_site_fract_x
_atom_site_fract_y
_atom_site_fract_z
Ta1 0.000 0.000 0.000
Ni1 0.000 0.000 0.500
Ge1 0.250 0.250 0.250
Au1 0.250 0.250 0.750
# Crystal system   cubic
# Calculated total energy   -6.28 eV/atom

(24)
# TcNiGeAu (PBE-GGA, optimized geometry)
data_TcNiGeAu
_chemical_formula_sum 'Tc4 Ni4 Ge4 Au4'
_cell_length_a 6.177
_cell_length_b 6.177
_cell_length_c 6.177
_cell_angle_alpha 90.00
_cell_angle_beta 90.00
_cell_angle_gamma 90.00
_symmetry_space_group_name_H-M 'F -4 3 m'
_symmetry_Int_Tables_number 216
_symmetry_space_group_name_Hall 'F -4 2 3'
loop_
_atom_site_label
_atom_site_fract_x
_atom_site_fract_y
_atom_site_fract_z
Tc1 0.000 0.000 0.000
Ni1 0.000 0.000 0.500
Ge1 0.250 0.250 0.250
Au1 0.250 0.250 0.750
# Crystal system   cubic
# Calculated total energy   -5.78 eV/atom